[1]
Entry from Alexandria: an optimized crystal structure of Li2Cd2In2Ag (GGA-PBE).

extended XYZ file:
```
7
Lattice="2.465 1.423 6.855 -2.465 1.423 6.855 0.000 -2.846 6.855" Properties=species:S:1:pos:R:3 pbc="T T T"
Li 0.000 0.000 2.827
Li 0.000 0.000 17.737
Cd 0.000 0.000 8.864
Cd 0.000 0.000 11.699
In 0.000 0.000 5.744
In 0.000 0.000 14.819
Ag 0.000 0.000 0.000
```

Computed properties:
Formation enthalpy at 0 K: -12 kJ per mole of atoms

***

[2]
Entry from Alexandria: an optimized crystal structure of LiCd2InAg5 (GGA-PBE).

extended XYZ file:
```
18
Lattice="2.343 -7.092 0.000 2.343 7.092 0.000 0.000 0.000 10.736" Properties=species:S:1:pos:R:3 pbc="T T T"
Li 2.343 3.931 5.368
Li 2.343 -3.931 0.000
Cd 2.343 1.974 2.046
Cd 2.343 0.989 9.772
Cd 2.343 -0.989 4.404
Cd 2.343 -1.974 7.414
In 2.343 4.636 0.234
In 2.343 -4.636 5.602
Ag 2.343 6.555 6.031
Ag 2.343 6.390 8.801
Ag 2.343 5.075 2.984
Ag 2.343 3.605 8.247
Ag 2.343 1.051 6.736
Ag 2.343 -1.051 1.368
Ag 2.343 -3.605 2.879
Ag 2.343 -5.075 8.352
Ag 2.343 -6.390 3.434
Ag 2.343 -6.555 0.663
```

Computed properties:
Formation enthalpy at 0 K: -3 kJ per mole of atoms

***

[3]
Entry from Alexandria: an optimized crystal structure of LuCdInAg (GGA-PBE).

extended XYZ file:
```
16
Lattice="7.044 0.000 0.000 0.000 7.044 0.000 0.000 0.000 7.044" Properties=species:S:1:pos:R:3 pbc="T T T"
Lu 0.000 0.000 0.000
Lu 0.000 3.522 3.522
Lu 3.522 0.000 3.522
Lu 3.522 3.522 0.000
Cd 1.761 1.761 1.761
Cd 1.761 5.283 5.283
Cd 5.283 1.761 5.283
Cd 5.283 5.283 1.761
In 0.000 0.000 3.522
In 0.000 3.522 0.000
In 3.522 0.000 0.000
In 3.522 3.522 3.522
Ag 1.761 1.761 5.283
Ag 1.761 5.283 1.761
Ag 5.283 1.761 1.761
Ag 5.283 5.283 5.283
```

Computed properties:
Formation enthalpy at 0 K: -22 kJ per mole of atoms

***

[4]
Entry from Alexandria: an optimized crystal structure of Mg2CdIn2Ag7 (GGA-PBE).

extended XYZ file:
```
12
Lattice="2.767 -2.766 0.000 2.767 2.766 0.000 -2.647 0.000 16.303" Properties=species:S:1:pos:R:3 pbc="T T T"
Mg -0.033 0.000 6.140
Mg 2.920 0.000 10.164
Cd 0.000 0.000 0.000
In 0.156 0.000 11.776
In 2.731 0.000 4.527
Ag 1.367 1.383 2.336
Ag 0.112 0.000 8.912
Ag 1.521 1.383 13.968
Ag 2.767 0.000 0.000
Ag 1.367 -1.383 2.336
Ag 2.775 0.000 7.391
Ag 1.521 -1.383 13.968
```

Computed properties:
Formation enthalpy at 0 K: 2 kJ per mole of atoms

***

[5]
Entry from Alexandria: an optimized crystal structure of MgCd6InAg (GGA-PBE).

extended XYZ file:
```
18
Lattice="-2.990 4.433 8.684 2.990 -4.433 8.684 2.990 4.433 -8.684" Properties=species:S:1:pos:R:3 pbc="T T T"
Mg 0.000 0.000 0.000
Mg 0.000 4.433 0.000
Cd 2.990 2.217 -1.815
Cd 1.436 0.153 2.636
Cd 4.545 0.153 2.636
Cd 1.436 4.587 -2.636
Cd 1.555 0.153 6.048
Cd 2.990 2.217 4.314
Cd 0.000 2.217 4.370
Cd 1.436 4.280 2.636
Cd 1.555 -0.153 11.320
Cd -1.555 4.280 6.048
Cd 1.555 4.280 6.048
Cd 0.000 2.217 10.499
In 2.990 2.217 0.986
In 0.000 2.217 7.698
Ag 1.495 2.217 -4.342
Ag 1.495 -2.217 4.342
```

Computed properties:
Formation enthalpy at 0 K: 10 kJ per mole of atoms

***

[6]
Entry from Alexandria: an optimized crystal structure of MgCd2InAg2 (GGA-PBE).

extended XYZ file:
```
12
Lattice="4.832 0.000 0.000 0.000 9.110 0.000 0.000 0.000 5.560" Properties=species:S:1:pos:R:3 pbc="T T T"
Mg 0.000 2.206 0.000
Mg 0.000 6.904 2.780
Cd 0.000 3.843 2.645
Cd 0.000 5.267 5.425
Cd 2.416 2.469 3.738
Cd 2.416 6.641 0.958
In 2.416 0.741 1.150
In 2.416 8.369 3.930
Ag 0.000 0.785 2.972
Ag 0.000 8.325 0.192
Ag 2.416 3.704 0.848
Ag 2.416 5.406 3.628
```

Computed properties:
Formation enthalpy at 0 K: -8 kJ per mole of atoms

***

[7]
Entry from Alexandria: an optimized crystal structure of MgCdInAg (GGA-PBE).

extended XYZ file:
```
8
Lattice="9.726 0.000 0.000 0.000 4.350 0.000 -1.702 0.000 4.011" Properties=species:S:1:pos:R:3 pbc="T T T"
Mg 0.000 0.000 0.000
Mg 4.863 2.175 0.000
Cd 1.154 0.000 3.018
Cd 6.017 2.175 3.018
In 1.999 2.175 1.023
In 6.862 0.000 1.023
Ag -0.854 2.175 2.025
Ag 4.009 0.000 2.025
```

Computed properties:
Formation enthalpy at 0 K: -6 kJ per mole of atoms

***

[8]
Entry from Alexandria: an optimized crystal structure of Mg2Cd2InAg2 (GGA-PBE).

extended XYZ file:
```
14
Lattice="15.193 0.000 0.000 0.000 3.226 0.000 -3.291 0.000 6.265" Properties=species:S:1:pos:R:3 pbc="T T T"
Mg -0.274 0.000 2.595
Mg 4.579 1.613 3.670
Mg 7.322 1.613 2.595
Mg 12.176 0.000 3.670
Cd 2.350 1.613 1.813
Cd 1.955 0.000 4.452
Cd 9.946 0.000 1.813
Cd 9.551 1.613 4.452
In 0.000 1.613 0.000
In 7.596 0.000 0.000
Ag -0.701 0.000 5.488
Ag 5.006 1.613 0.777
Ag 6.895 1.613 5.488
Ag 12.602 0.000 0.777
```

Computed properties:
Formation enthalpy at 0 K: 0 kJ per mole of atoms

***

[9]
Entry from Alexandria: an optimized crystal structure of Mg3Cd2InAg3 (GGA-PBE).

extended XYZ file:
```
9
Lattice="8.238 0.000 0.000 -4.119 7.135 0.000 0.000 0.000 3.079" Properties=species:S:1:pos:R:3 pbc="T T T"
Mg -1.264 2.189 0.000
Mg 2.528 0.000 0.000
Mg 2.855 4.946 0.000
Cd 0.000 4.756 0.000
Cd 4.119 2.378 0.000
In 0.000 0.000 1.540
Ag -2.611 4.523 1.540
Ag 1.508 2.612 1.540
Ag 5.222 0.000 1.540
```

Computed properties:
Formation enthalpy at 0 K: -8 kJ per mole of atoms

***

[10]
Entry from Alexandria: an optimized crystal structure of Mg2CdIn2Ag5 (GGA-PBE).

extended XYZ file:
```
20
Lattice="9.708 0.000 0.000 0.000 9.708 0.000 0.000 0.000 4.350" Properties=species:S:1:pos:R:3 pbc="T T T"
Mg 1.171 3.683 0.000
Mg 3.683 8.537 0.000
Mg 6.025 1.171 0.000
Mg 8.537 6.025 0.000
Cd 0.000 0.000 0.000
Cd 4.854 4.854 0.000
In 1.697 6.551 0.000
In 3.158 1.697 0.000
In 6.551 8.012 0.000
In 8.012 3.158 0.000
Ag 0.000 4.854 2.175
Ag 0.888 1.868 2.175
Ag 1.868 8.820 2.175
Ag 2.986 3.966 2.175
Ag 3.966 6.723 2.175
Ag 4.854 0.000 2.175
Ag 5.742 2.986 2.175
Ag 6.723 5.742 2.175
Ag 7.840 0.888 2.175
Ag 8.820 7.840 2.175
```

Computed properties:
Formation enthalpy at 0 K: -1 kJ per mole of atoms

***

[11]
Entry from Alexandria: an optimized crystal structure of Mg2CdInAg (GGA-PBE).

extended XYZ file:
```
10
Lattice="7.478 0.000 0.000 0.000 3.549 0.000 -1.769 0.000 8.118" Properties=species:S:1:pos:R:3 pbc="T T T"
Mg 0.330 0.887 3.743
Mg 2.516 0.887 0.221
Mg 3.193 2.662 7.898
Mg 5.379 2.662 4.375
Cd 0.116 2.662 1.280
Cd 5.593 0.887 6.839
In 2.908 2.662 2.711
In 2.801 0.887 5.407
Ag 0.419 2.662 6.084
Ag 5.290 0.887 2.035
```

Computed properties:
Formation enthalpy at 0 K: -7 kJ per mole of atoms

***

[12]
Entry from Alexandria: an optimized crystal structure of MgCdInAg (GGA-PBE).

extended XYZ file:
```
16
Lattice="6.974 0.000 0.000 0.000 6.974 0.000 0.000 0.000 6.974" Properties=species:S:1:pos:R:3 pbc="T T T"
Mg 0.000 0.000 0.000
Mg 0.000 3.487 3.487
Mg 3.487 0.000 3.487
Mg 3.487 3.487 0.000
Cd 1.744 1.744 1.744
Cd 1.744 5.231 5.231
Cd 5.231 1.744 5.231
Cd 5.231 5.231 1.744
In 0.000 0.000 3.487
In 0.000 3.487 0.000
In 3.487 0.000 0.000
In 3.487 3.487 3.487
Ag 1.744 1.744 5.231
Ag 1.744 5.231 1.744
Ag 5.231 1.744 1.744
Ag 5.231 5.231 5.231
```

Computed properties:
Formation enthalpy at 0 K: -2 kJ per mole of atoms

***

[13]
Entry from Alexandria: an optimized crystal structure of Mg5Cd2In2Ag (GGA-PBE).

extended XYZ file:
```
20
Lattice="12.082 0.000 0.000 0.000 12.082 0.000 0.000 0.000 3.168" Properties=species:S:1:pos:R:3 pbc="T T T"
Mg 0.000 6.041 0.000
Mg 0.146 2.352 0.000
Mg 2.352 11.935 0.000
Mg 3.689 5.894 0.000
Mg 5.894 8.393 0.000
Mg 6.041 0.000 0.000
Mg 6.187 3.689 0.000
Mg 8.393 6.187 0.000
Mg 9.730 0.146 0.000
Mg 11.935 9.730 0.000
Cd 1.815 4.226 1.584
Cd 4.226 10.267 1.584
Cd 7.856 1.815 1.584
Cd 10.267 7.856 1.584
In 2.047 8.088 1.584
In 3.994 2.047 1.584
In 8.088 10.035 1.584
In 10.035 3.994 1.584
Ag 0.000 0.000 1.584
Ag 6.041 6.041 1.584
```

Computed properties:
Formation enthalpy at 0 K: -4 kJ per mole of atoms

***

[14]
Entry from Alexandria: an optimized crystal structure of MgCd2InAg5 (GGA-PBE).

extended XYZ file:
```
18
Lattice="1.528 -8.673 0.000 1.528 8.673 0.000 0.000 0.000 13.453" Properties=species:S:1:pos:R:3 pbc="T T T"
Mg 1.528 4.768 6.726
Mg 1.528 -4.768 0.000
Cd 1.528 2.239 2.234
Cd 1.528 2.088 11.299
Cd 1.528 -2.088 4.572
Cd 1.528 -2.239 8.960
In 1.528 6.700 13.267
In 1.528 -6.700 6.540
Ag 1.528 8.184 10.843
Ag 1.528 7.733 6.788
Ag 1.528 5.204 2.299
Ag 1.528 4.970 11.065
Ag 1.528 0.786 8.710
Ag 1.528 -0.786 1.984
Ag 1.528 -4.970 4.338
Ag 1.528 -5.204 9.026
Ag 1.528 -7.733 0.062
Ag 1.528 -8.184 4.116
```

Computed properties:
Formation enthalpy at 0 K: -4 kJ per mole of atoms

***

[15]
Entry from Alexandria: an optimized crystal structure of Mg5CdInAg2 (GGA-PBE).

extended XYZ file:
```
18
Lattice="-3.810 3.810 7.042 3.810 -3.810 7.042 3.810 3.810 -7.042" Properties=species:S:1:pos:R:3 pbc="T T T"
Mg 0.000 0.000 0.000
Mg 5.398 1.589 -1.846
Mg 1.589 2.221 -1.846
Mg 5.398 1.589 1.846
Mg 1.589 2.221 1.846
Mg 0.000 0.000 7.042
Mg 2.221 1.589 5.196
Mg -1.589 2.221 5.196
Mg 2.221 1.589 8.888
Mg -1.589 2.221 8.888
Cd 0.000 0.000 3.521
Cd 0.000 0.000 10.564
In 3.810 0.000 3.521
In 0.000 3.810 3.521
Ag 2.883 0.926 0.000
Ag 2.883 -0.926 7.042
Ag 0.926 4.736 0.000
Ag 0.926 2.883 7.042
```

Computed properties:
Formation enthalpy at 0 K: 0 kJ per mole of atoms

***

[16]
Entry from Alexandria: an optimized crystal structure of MgCd2In2Ag5 (GGA-PBE).

extended XYZ file:
```
20
Lattice="10.353 0.000 0.000 0.000 10.353 0.000 0.000 0.000 3.936" Properties=species:S:1:pos:R:3 pbc="T T T"
Mg 0.000 0.000 0.000
Mg 5.176 5.176 0.000
Cd 1.561 3.615 0.000
Cd 3.615 8.792 0.000
Cd 6.738 1.561 0.000
Cd 8.792 6.738 0.000
In 1.632 6.808 0.000
In 3.545 1.632 0.000
In 6.808 8.721 0.000
In 8.721 3.545 0.000
Ag 0.000 5.176 1.968
Ag 0.021 2.078 1.968
Ag 2.078 10.332 1.968
Ag 3.098 5.156 1.968
Ag 5.156 7.255 1.968
Ag 5.176 0.000 1.968
Ag 5.197 3.098 1.968
Ag 7.255 5.197 1.968
Ag 8.275 0.021 1.968
Ag 10.332 8.275 1.968
```

Computed properties:
Formation enthalpy at 0 K: 1 kJ per mole of atoms

***

[17]
Entry from Alexandria: an optimized crystal structure of NaCd2InAg (GGA-PBE).

extended XYZ file:
```
10
Lattice="2.404 -5.411 0.000 2.404 5.411 0.000 0.000 0.000 9.093" Properties=species:S:1:pos:R:3 pbc="T T T"
Na 2.404 4.717 6.820
Na 2.404 -4.717 2.273
Cd 2.404 3.121 0.746
Cd 2.404 3.121 3.801
Cd 2.404 -3.121 5.292
Cd 2.404 -3.121 8.347
In 2.404 0.000 0.000
In 2.404 0.000 4.547
Ag 2.404 1.684 6.820
Ag 2.404 -1.684 2.273
```

Computed properties:
Formation enthalpy at 0 K: -6 kJ per mole of atoms

***

[18]
Entry from Alexandria: an optimized crystal structure of Na2CdInAg6 (GGA-PBE).

extended XYZ file:
```
10
Lattice="0.000 5.278 5.278 5.278 0.000 5.278 5.278 5.278 0.000" Properties=species:S:1:pos:R:3 pbc="T T T"
Na 2.639 2.639 2.639
Na 7.916 7.916 7.916
Cd 0.000 0.000 0.000
In 5.278 5.278 5.278
Ag 5.278 5.278 2.634
Ag 5.278 2.634 5.278
Ag 7.921 5.278 5.278
Ag 2.634 5.278 5.278
Ag 5.278 7.921 5.278
Ag 5.278 5.278 7.921
```

Computed properties:
Formation enthalpy at 0 K: 31 kJ per mole of atoms

***

[19]
Entry from Alexandria: an optimized crystal structure of Na2Cd2In5Ag (GGA-PBE).

extended XYZ file:
```
20
Lattice="10.795 0.000 0.000 0.000 10.795 0.000 0.000 0.000 4.474" Properties=species:S:1:pos:R:3 pbc="T T T"
Na 1.866 3.532 0.000
Na 3.532 8.930 0.000
Na 7.263 1.866 0.000
Na 8.930 7.263 0.000
Cd 1.391 6.789 0.000
Cd 4.007 1.391 0.000
Cd 6.789 9.404 0.000
Cd 9.404 4.007 0.000
In 0.000 5.398 2.237
In 0.640 8.733 2.237
In 2.063 0.640 2.237
In 3.335 6.038 2.237
In 4.758 3.335 2.237
In 5.398 0.000 2.237
In 6.038 7.460 2.237
In 7.460 4.758 2.237
In 8.733 10.155 2.237
In 10.155 2.063 2.237
Ag 0.000 0.000 0.000
Ag 5.398 5.398 0.000
```

Computed properties:
Formation enthalpy at 0 K: -3 kJ per mole of atoms

***

[20]
Entry from Alexandria: an optimized crystal structure of NaCd2In2Ag2 (GGA-PBE).

extended XYZ file:
```
7
Lattice="2.429 1.402 7.924 -2.429 1.402 7.924 0.000 -2.805 7.924" Properties=species:S:1:pos:R:3 pbc="T T T"
Na 0.000 0.000 0.000
Cd 0.000 0.000 3.170
Cd 0.000 0.000 20.602
In 0.000 0.000 6.292
In 0.000 0.000 17.480
Ag 0.000 0.000 9.712
Ag 0.000 0.000 14.060
```

Computed properties:
Formation enthalpy at 0 K: -2 kJ per mole of atoms